Entry 1:
LiBeBr: optimized geometry, GGA-PBEsol.

The energy relative to the elements, uncorrected comes out at 0.38 eV/atom. As for the density of states at the Fermi level: 0.315 states/eV/atom. For the excess energy over the best structure of this formula in the dataset, the calculation gives 1.31 eV per formula unit. For the total magnetization, the calculation gives 0.000 μB/atom.

The space group is F-43m (No. 216) and the conventional cell measures 6.504, 6.504 and 6.504 Å, with angles of 90.00, 90.00 and 90.00 degrees. The asymmetric unit holds Li at (0.000, 0.000, 0.000), Be at (0.000, 0.000, 0.500) and Br at (0.250, 0.250, 0.250).

Entry 2:
LiBeBr: optimized geometry, GGA-PBEsol.

The energy relative to the elements, uncorrected comes out at -0.05 eV/atom. As for the density of states at the Fermi level: 0.078 states/eV/atom. For the excess energy over the best structure of this formula in the dataset, the calculation gives 0.00 eV per formula unit. For the total magnetization, the calculation gives 0.000 μB/atom.

The space group is P3m1 (No. 156) and the conventional cell measures 3.3667, 3.3667 and 5.5139 Å, with angles of 90.00, 90.00 and 120.00 degrees. The asymmetric unit holds Li at (0.0000, 0.0000, 0.0000), Be at (0.3333, 0.6667, 0.6562) and Br at (0.6667, 0.3333, 0.3876).

Entry 3:
LiBe2BrO: optimized geometry, GGA-PBEsol.

The energy relative to the elements, uncorrected comes out at 0.90 eV/atom. As for the density of states at the Fermi level: 0.590 states/eV/atom. For the total magnetization, the calculation gives 0.000 μB/atom.

The space group is P4/mmm (No. 123) and the conventional cell measures 4.351, 4.351 and 4.461 Å, with angles of 90.00, 90.00 and 90.00 degrees. The asymmetric unit holds Li at (0.000, 0.000, 0.000), Be at (0.000, 0.500, 0.500), Br at (0.500, 0.500, 0.500) and O at (0.500, 0.500, 0.000).

Entry 4:
Li4Be3P3BrO12: optimized geometry, GGA-PBEsol.

The energy relative to the elements, uncorrected comes out at -2.47 eV/atom. As for the density of states at the Fermi level: 0.000 states/eV/atom. For the total magnetization, the calculation gives 0.008 μB/atom.

The space group is P-43n (No. 218) and the conventional cell measures 8.076, 8.076 and 8.076 Å, with angles of 90.00, 90.00 and 90.00 degrees. The asymmetric unit holds Li at (0.182, 0.182, 0.182), Be at (0.000, 0.250, 0.500), P at (0.000, 0.500, 0.250), Br at (0.000, 0.000, 0.000) and O at (0.082, 0.364, 0.644).

Entry 5:
LiBeSe2Br: optimized geometry, GGA-PBEsol.

The energy relative to the elements, uncorrected comes out at -0.33 eV/atom. As for the density of states at the Fermi level: 0.382 states/eV/atom. For the total magnetization, the calculation gives 0.000 μB/atom.

The space group is P4/mmm (No. 123) and the conventional cell measures 4.270, 4.270 and 6.496 Å, with angles of 90.00, 90.00 and 90.00 degrees. The asymmetric unit holds Li at (0.000, 0.000, 0.000), Be at (0.500, 0.500, 0.500), Se at (0.000, 0.500, 0.500) and Br at (0.500, 0.500, 0.000).

Entry 6:
MgBeBr2: optimized geometry, GGA-PBEsol.

The energy relative to the elements, uncorrected comes out at -0.42 eV/atom. As for the density of states at the Fermi level: 0.101 states/eV/atom. For the excess energy over the best structure of this formula in the dataset, the calculation gives 0.58 eV per formula unit. For the total magnetization, the calculation gives 0.000 μB/atom.

The space group is R-3m (No. 166, hexagonal axes) and the conventional cell measures 3.3877, 3.3877 and 27.8353 Å, with angles of 90.00, 90.00 and 120.00 degrees. The asymmetric unit holds Mg at (0.0000, 0.0000, 0.0000), Be at (0.0000, 0.0000, 0.5000) and Br at (0.0000, 0.0000, 0.1172).

Entry 7:
Mg2BeBr: optimized geometry, GGA-PBEsol.

The energy relative to the elements, uncorrected comes out at 0.27 eV/atom. As for the density of states at the Fermi level: 0.523 states/eV/atom. For the excess energy over the best structure of this formula in the dataset, the calculation gives 1.24 eV per formula unit. For the total magnetization, the calculation gives 0.000 μB/atom.

The space group is Pmmm (No. 47) and the conventional cell measures 3.267, 4.431 and 6.037 Å, with angles of 90.00, 90.00 and 90.00 degrees. The asymmetric unit holds Mg at (0.000, 0.000, 0.000), Mg at (0.500, 0.000, 0.500), Be at (0.000, 0.500, 0.500) and Br at (0.500, 0.500, 0.000).

Entry 8:
MgBeBr2: optimized geometry, GGA-PBEsol.

The energy relative to the elements, uncorrected comes out at -0.56 eV/atom. For the excess energy over the best structure of this formula in the dataset, the calculation gives 0.00 eV per formula unit. For the total magnetization, the calculation gives 0.000 μB/atom.

The space group is Cm (No. 8) and the conventional cell measures 6.059, 3.500 and 8.665 Å, with angles of 90.00, 103.40 and 90.00 degrees. The asymmetric unit holds Mg at (0.000, 0.000, 0.000), Be at (0.251, 0.500, 0.251), Br at (0.268, 0.000, 0.802) and Br at (0.465, 0.000, 0.394).

Entry 9:
Mg2BeBr: optimized geometry, GGA-PBEsol.

The energy relative to the elements, uncorrected comes out at 0.11 eV/atom. As for the density of states at the Fermi level: 0.462 states/eV/atom. For the excess energy over the best structure of this formula in the dataset, the calculation gives 0.57 eV per formula unit. For the total magnetization, the calculation gives 0.000 μB/atom.

The space group is P2/m (No. 10) and the conventional cell measures 4.506, 3.362 and 5.552 Å, with angles of 90.00, 104.33 and 90.00 degrees. The asymmetric unit holds Mg at (0.000, 0.000, 0.000), Mg at (0.500, 0.500, 0.500), Be at (0.000, 0.000, 0.500) and Br at (0.500, 0.500, 0.000).

Entry 10:
MgBe2Br: optimized geometry, GGA-PBEsol.

The energy relative to the elements, uncorrected comes out at 0.50 eV/atom. As for the density of states at the Fermi level: 0.286 states/eV/atom. For the excess energy over the best structure of this formula in the dataset, the calculation gives 1.05 eV per formula unit. For the total magnetization, the calculation gives 0.000 μB/atom.

The space group is C2/m (No. 12) and the conventional cell measures 5.270, 9.702 and 3.308 Å, with angles of 90.00, 128.41 and 90.00 degrees. The asymmetric unit holds Mg at (0.000, 0.000, 0.000), Be at (0.250, 0.250, 0.000) and Br at (0.000, 0.500, 0.000).

Entry 11:
MgBeBr2: optimized geometry, GGA-PBEsol.

The energy relative to the elements, uncorrected comes out at -0.37 eV/atom. For the excess energy over the best structure of this formula in the dataset, the calculation gives 0.78 eV per formula unit. For the total magnetization, the calculation gives 0.000 μB/atom.

The space group is Immm (No. 71) and the conventional cell measures 3.337, 4.676 and 12.146 Å, with angles of 90.00, 90.00 and 90.00 degrees. The asymmetric unit holds Mg at (0.000, 0.000, 0.000), Be at (0.000, 0.000, 0.500) and Br at (0.000, 0.500, 0.139).

Entry 12:
Mg2BeBr: optimized geometry, GGA-PBEsol.

The energy relative to the elements, uncorrected comes out at -0.04 eV/atom. As for the density of states at the Fermi level: 0.293 states/eV/atom. For the excess energy over the best structure of this formula in the dataset, the calculation gives 0.00 eV per formula unit. For the total magnetization, the calculation gives 0.000 μB/atom.

The space group is Imm2 (No. 44) and the conventional cell measures 3.245, 3.363 and 15.254 Å, with angles of 90.00, 90.00 and 90.00 degrees. The asymmetric unit holds Mg at (0.000, 0.000, 0.000), Mg at (0.000, 0.500, 0.215), Be at (0.000, 0.500, 0.633) and Br at (0.000, 0.000, 0.388).